Computed, not measured: NdBO3 after structural relaxation at the GGA-PBE level of DFT.

Properties
- DOS(E_F): 0.000 states/eV per atom
- Symmetry: No. 2
- Uncorrected energy: -8.310 eV/atom
- Total moment: 0.00 μB/f.u.

Cell and atoms, written as CIF:
```
data_NdBO3
_chemical_formula_sum 'Nd4 B4 O12'
_space_group_name_H-M_alt 'P 1'
_space_group_IT_number 1
_space_group_name_Hall 'P 1'
_cell_length_a 6.3925
_cell_length_b 6.5958
_cell_length_c 6.6032
_cell_angle_alpha 93.55
_cell_angle_beta 105.63
_cell_angle_gamma 106.78
loop_
_atom_site_label
_atom_site_fract_x
_atom_site_fract_y
_atom_site_fract_z
_atom_site_occupancy
Nd1 0.0464 0.2639 0.3310 1
Nd2 0.4424 0.8098 0.2214 1
Nd3 0.5576 0.1902 0.7786 1
Nd4 0.9536 0.7361 0.6690 1
B1 0.0161 0.2414 0.7786 1
B2 0.4803 0.2713 0.2661 1
B3 0.5197 0.7287 0.7339 1
B4 0.9839 0.7586 0.2214 1
O1 0.0455 0.7763 0.0388 1
O2 0.0893 0.6445 0.3668 1
O3 0.1496 0.1343 0.7129 1
O4 0.3749 0.1286 0.3864 1
O5 0.3832 0.7980 0.8360 1
O6 0.4249 0.4554 0.2489 1
O7 0.5751 0.5446 0.7511 1
O8 0.6168 0.2020 0.1640 1
O9 0.6251 0.8714 0.6136 1
O10 0.8504 0.8657 0.2871 1
O11 0.9107 0.3555 0.6332 1
O12 0.9545 0.2237 0.9612 1
```